4
Lattice="0.000 3.377 3.377 3.377 0.000 3.377 3.377 3.377 0.000" Properties=species:S:1:pos:R:3 comment="PrScNiOs, optimized geometry, DFT GGA-PBE" dos_at_fermi_per_ev_atom=0.54 vol_a3_per_atom=19.25 formation_energy_ev_per_fu=-0.638 pbc="T T T"
Pr 0.000 0.000 0.000
Sc 3.377 3.377 3.377
Ni 5.065 5.065 5.065
Os 1.688 1.688 1.688

***

12
Lattice="2.628 0.000 0.000 0.000 7.911 0.000 0.000 0.000 3.871" Properties=species:S:1:pos:R:3 comment="B5C7, optimized geometry, DFT GGA-PBE" dos_at_fermi_per_ev_atom=0.14 vol_a3_per_atom=6.71 formation_energy_ev_per_fu=3.236 pbc="T T T"
B 0.000 0.000 0.000
B 1.314 1.087 1.725
B 1.314 2.872 3.076
B 1.314 5.039 3.076
B 1.314 6.824 1.725
C 0.000 1.416 0.920
C 0.000 2.657 0.100
C 0.000 3.955 1.037
C 0.000 5.254 0.100
C 0.000 6.495 0.920
C 1.314 0.000 2.848
C 1.314 3.955 1.911

***

10
Lattice="2.002 -8.270 0.000 2.002 8.270 0.000 0.000 0.000 8.309" Properties=species:S:1:pos:R:3 comment="Ca2Bi2H, optimized geometry, DFT GGA-PBE" dos_at_fermi_per_ev_atom=0.18 vol_a3_per_atom=27.52 pbc="T T T"
Ca 2.002 7.623 4.154
Ca 2.002 2.373 2.730
Ca 2.002 -2.373 6.884
Ca 2.002 -7.623 0.000
Bi 2.002 3.430 7.959
Bi 2.002 1.365 5.779
Bi 2.002 -1.365 1.625
Bi 2.002 -3.430 3.805
H 2.002 6.929 6.551
H 2.002 -6.929 2.396

***

8
Lattice="-3.132 3.132 5.785 3.132 -3.132 5.785 3.132 3.132 -5.785" Properties=species:S:1:pos:R:3 comment="Mg2IrBr, optimized geometry, DFT GGA-PBE" dos_at_fermi_per_ev_atom=0.00 vol_a3_per_atom=28.38 e_form_raw_ev_per_atom=0.073 pbc="T T T"
Mg 4.699 1.368 -1.446
Mg 1.368 1.566 1.446
Mg -1.566 1.765 4.339
Mg 1.765 1.566 7.231
Ir 0.000 0.000 0.000
Ir 0.000 3.132 2.892
Br 3.132 0.000 2.892
Br 0.000 0.000 5.785

***

4
Lattice="-2.221 2.221 4.927 2.221 -2.221 4.927 2.221 2.221 -4.927" Properties=species:S:1:pos:R:3 comment="AlCd2Pb, optimized geometry, DFT GGA-PBE" dos_at_fermi_per_ev_atom=0.34 vol_a3_per_atom=24.30 formation_energy_ev_per_fu=0.685 pbc="T T T"
Al 0.000 0.000 0.000
Cd 2.221 0.000 2.464
Cd 0.000 2.221 2.464
Pb 0.000 0.000 4.927

***

4
Lattice="4.002 0.000 0.000 0.000 4.002 0.000 0.000 0.000 4.529" Properties=species:S:1:pos:R:3 comment="LaCr2Co, optimized geometry, DFT GGA-PBE" dos_at_fermi_per_ev_atom=1.21 vol_a3_per_atom=18.13 formation_energy_ev_per_fu=2.750 pbc="T T T"
La 0.000 0.000 0.000
Cr 0.000 2.001 2.264
Cr 2.001 0.000 2.264
Co 2.001 2.001 0.000

***

In the order shown, the computed energy values come out to -7.19, -7.89, -3.54, -3.36, -2.15, -7.13 eV/atom.
In the order shown, the computed spin magnetization values come out to 0.0000, 0.0000, 0.0000, 0.0000, 0.0000, 1.9591 μB/atom.